Here is crystalline FeBNO2 at its relaxed geometry from Alexandria via LeMat-Bulk. Energies are from GGA+U.

a b c (Å): 3.6527 3.6527 2.9814
angles (deg): 90.00 90.00 90.00
Fractional coordinates of all 5 atoms:
Fe1 0.0000 0.0000 0.0000
B1 0.5000 0.5000 0.5000
N1 0.5000 0.5000 0.0000
O1 0.0000 0.5000 0.5000
O2 0.5000 0.0000 0.5000

Values from the calculation:
E	-6.12	eV per atom